Record 1
Compound: ErPu2PaTe5
Source: Alexandria via LeMat-Bulk
Functional: PBE
Structure: relaxed

- calculated total energy (Ry/atom) = -0.511
- N(E_F) (states/eV/cell) = 25.974
- E_form (uncorrected) (eV per atom) = -0.457

a = 5.627 Å, b = 5.627 Å, c = 11.497 Å
α = 90.00°, β = 90.00°, γ = 90.00°
Space group P4/mmm (No. 123)
Inequivalent atoms, fractional coordinates:
Er  0.000  0.000  0.000 [1 per cell]
Pu  0.500  0.500  0.332 [2 per cell]
Pa  0.000  0.000  0.500 [1 per cell]
Te  0.000  0.000  0.244 [2 per cell]
Te  0.000  0.500  0.500 [2 per cell]
Te  0.500  0.500  0.000 [1 per cell]


Record 2
Compound: NiOs2Pb
Source: Alexandria via LeMat-Bulk
Functional: PBE
Structure: relaxed

- formation energy (kcal/mol of atoms) = 20.57
- calculated total energy (Ry/atom) = -0.522
- N(E_F) (states/eV/cell) = 13.263

a = 3.947 Å, b = 3.947 Å, c = 8.079 Å
α = 90.00°, β = 90.00°, γ = 90.00°
Space group I4/mmm (No. 139)
Inequivalent atoms, fractional coordinates:
Ni  0.000  0.000  0.000 [2 per cell]
Os  0.000  0.500  0.250 [4 per cell]
Pb  0.000  0.000  0.500 [2 per cell]


Question: Which value of calculated total energy does entry 2 give?
Answer: -0.522 Ry/atom